[1]
Compound: Zn7Os
Source: Alexandria
Functional: meta-GGA SCAN
Structure: single point on PBEsol structure

Output
ΔE_f in meV per atom: 11
N(E_F) in states/eV/atom: 0.468

Cell: 7.5777 7.5777 7.5777 Å, 90.00 90.00 90.00°
With the nearest neighbours (Å) after each atom.
Space group Fm-3m (No. 225)
One atom of each set of equivalent atoms:
1 Zn 0.0000 0.0000 0.0000 [4 per cell]  12 Zn 2.68
2 Zn 0.0000 0.2500 0.2500 [24 per cell]  10 Zn 2.68, 2 Os 2.68
3 Os 0.0000 0.0000 0.5000 [4 per cell]  12 Zn 2.68

***

[2]
Compound: CdB3Pb
Source: Alexandria
Functional: meta-GGA SCAN
Structure: single point on PBEsol structure

Output
ΔE_f in meV per atom: 2462
N(E_F) in states/eV/atom: 0.524

Cell: 4.6254 4.6254 4.6254 Å, 90.00 90.00 90.00°
With the nearest neighbours (Å) after each atom.
Space group Pm-3m (No. 221)
One atom of each set of equivalent atoms:
1 Cd 0.0000 0.0000 0.0000 [1 per cell]  12 B 3.27
2 B 0.0000 0.5000 0.5000 [3 per cell]  2 Pb 2.31
3 Pb 0.5000 0.5000 0.5000 [1 per cell]  6 B 2.31

***

[3]
Compound: TiAlBr2
Source: Alexandria
Functional: meta-GGA SCAN
Structure: single point on PBEsol structure

Output
Polymorph energy (0 for the lowest one) in meV per atom: 0.0
N(E_F) in states/eV/atom: 0.578
Formation energy from raw total energies in eV/f.u.: -0.107

Cell: 3.3531 3.3531 28.6065 Å, 90.00 90.00 120.00°
With the nearest neighbours (Å) after each atom.
Space group R-3m (No. 166, hexagonal axes)
One atom of each set of equivalent atoms:
1 Ti 0.0000 0.0000 0.0000 [3 per cell]  2 Br 2.39
2 Al 0.0000 0.0000 0.5000 [3 per cell]  6 Br 3.06, 6 Al 3.35
3 Br 0.0000 0.0000 0.0837 [6 per cell]  1 Ti 2.39

***

[4]
Compound: Li3ZnTe
Source: Alexandria
Functional: meta-GGA SCAN
Structure: single point on PBEsol structure

Output
N(E_F) in states/eV/atom: 0.496
Formation energy from raw total energies in eV/f.u.: -1.448

Cell: 5.1444 5.1444 5.1444 Å, 90.00 90.00 90.00°
With the nearest neighbours (Å) after each atom.
Space group Pm-3m (No. 221)
One atom of each set of equivalent atoms:
1 Li 0.0000 0.0000 0.5000 [3 per cell]  2 Te 2.57
2 Zn 0.5000 0.5000 0.5000 [1 per cell]  12 Li 3.64
3 Te 0.0000 0.0000 0.0000 [1 per cell]  6 Li 2.57

***

[5]
Compound: YTlAs2
Source: Alexandria
Functional: meta-GGA SCAN
Structure: single point on PBEsol structure

Output
ΔE_f in meV per atom: -559
Polymorph energy (0 for the lowest one) in meV per atom: 128.6
N(E_F) in states/eV/atom: 0.434

Cell: 4.0471 4.1110 10.9281 Å, 90.00 90.00 90.00°
With the nearest neighbours (Å) after each atom.
Space group Imm2 (No. 44)
One atom of each set of equivalent atoms:
1 Y 0.0000 0.0000 0.0000 [2 per cell]  6 As 2.89-3.02
2 Tl 0.0000 0.5000 0.7644 [2 per cell]  6 As 2.96-3.22, 2 Y 3.29
3 As 0.0000 0.0000 0.4933 [2 per cell]  4 Y 2.89, 2 As 3.05, 2 Tl 3.22
4 As 0.0000 0.5000 0.2022 [2 per cell]  4 Tl 2.96, 2 Y 3.02, 2 As 3.05

***

[6]
Compound: BPPtO2
Source: Alexandria
Functional: meta-GGA SCAN
Structure: single point on PBEsol structure

Output
N(E_F) in states/eV/atom: 0.423
Formation energy from raw total energies in eV/f.u.: 4.213

Cell: 3.6878 3.6878 5.1213 Å, 90.00 90.00 90.00°
With the nearest neighbours (Å) after each atom.
Space group P4/mmm (No. 123)
One atom of each set of equivalent atoms:
1 B 0.0000 0.0000 0.0000 [1 per cell]  4 P 2.61
2 P 0.5000 0.5000 0.0000 [1 per cell]  2 Pt 2.56, 4 B 2.61
3 Pt 0.5000 0.5000 0.5000 [1 per cell]  4 O 1.84
4 O 0.0000 0.5000 0.5000 [2 per cell]  2 Pt 1.84

***

[7]
Compound: Be3WAu
Source: Alexandria
Functional: meta-GGA SCAN
Structure: single point on PBEsol structure

Output
ΔE_f in meV per atom: 1042
Polymorph energy (0 for the lowest one) in meV per atom: 0.0
N(E_F) in states/eV/atom: 0.537

Cell: 4.1239 4.1239 4.1239 Å, 90.00 90.00 90.00°
With the nearest neighbours (Å) after each atom.
Space group Pm-3m (No. 221)
One atom of each set of equivalent atoms:
1 Be 0.0000 0.0000 0.5000 [3 per cell]  2 Au 2.06
2 W 0.5000 0.5000 0.5000 [1 per cell]  12 Be 2.92
3 Au 0.0000 0.0000 0.0000 [1 per cell]  6 Be 2.06

***

[8]
Compound: HfFeAsBr2
Source: Alexandria
Functional: meta-GGA SCAN
Structure: single point on PBEsol structure

Output
N(E_F) in states/eV/atom: 0.901
Formation energy from raw total energies in eV/f.u.: 0.569

Cell: 5.0697 5.0697 5.2761 Å, 90.00 90.00 90.00°
With the nearest neighbours (Å) after each atom.
Space group P4/mmm (No. 123)
One atom of each set of equivalent atoms:
1 Hf 0.0000 0.0000 0.0000 [1 per cell]  4 Br 2.53, 2 As 2.64
2 Fe 0.5000 0.5000 0.5000 [1 per cell]  4 As 3.58, 8 Br 3.66
3 As 0.0000 0.0000 0.5000 [1 per cell]  2 Hf 2.64
4 Br 0.0000 0.5000 0.0000 [2 per cell]  2 Hf 2.53

***

Which of these has the highest N(E_F)? HfFeAsBr2

***

What is the N(E_F) in the seventh record? 0.537 states/eV/atom

***

N(E_F) of number 2 (CdB3Pb)? 0.524 states/eV/atom

***

What is the formula in the third record? TiAlBr2